[1]
Na5Sc3Cl12: optimized geometry, PBE.

CIF file:
```
data_Na5Sc3Cl12
_symmetry_space_group_name_H-M 'I a -3 d'
_symmetry_Int_Tables_number 230
_symmetry_space_group_name_Hall '-I 4bd 2c 3'
_cell_length_a 15.851
_cell_length_b 15.851
_cell_length_c 15.851
_cell_angle_alpha 90.00
_cell_angle_beta 90.00
_cell_angle_gamma 90.00
loop_
_atom_site_label
_atom_site_type_symbol
_atom_site_fract_x
_atom_site_fract_y
_atom_site_fract_z
Na1 Na 0.000 0.000 0.000
Na2 Na 0.000 0.250 0.375
Sc1 Sc 0.000 0.250 0.125
Cl1 Cl 0.025 0.083 0.650
```

crystal system	cubic

---

[2]
Na2ScCl6: optimized geometry, PBE.

CIF file:
```
data_Na2ScCl6
_symmetry_space_group_name_H-M 'P 42/m n m'
_symmetry_Int_Tables_number 136
_symmetry_space_group_name_Hall '-P 4n 2n'
_cell_length_a 6.394
_cell_length_b 6.394
_cell_length_c 12.218
_cell_angle_alpha 90.00
_cell_angle_beta 90.00
_cell_angle_gamma 90.00
loop_
_atom_site_label
_atom_site_type_symbol
_atom_site_fract_x
_atom_site_fract_y
_atom_site_fract_z
Na1 Na 0.000 0.000 0.169
Sc1 Sc 0.000 0.000 0.500
Cl1 Cl 0.191 0.191 0.353
Cl2 Cl 0.224 0.224 0.000
```

crystal system	tetragonal

---

[3]
NaSc4Cl8: optimized geometry, PBE.

CIF file:
```
data_NaSc4Cl8
_symmetry_space_group_name_H-M 'C 1 2/m 1'
_symmetry_Int_Tables_number 12
_cell_length_a 12.294
_cell_length_b 7.210
_cell_length_c 9.131
_cell_angle_alpha 90.00
_cell_angle_beta 129.33
_cell_angle_gamma 90.00
loop_
_symmetry_equiv_pos_as_xyz
'x,y,z'
'-x,-y,-z'
'-x,y,-z'
'x,-y,z'
'x+1/2,y+1/2,z'
'-x+1/2,-y+1/2,-z'
'-x+1/2,y+1/2,-z'
'x+1/2,-y+1/2,z'
loop_
_atom_site_label
_atom_site_type_symbol
_atom_site_fract_x
_atom_site_fract_y
_atom_site_fract_z
Na1 Na 0.000 0.000 0.000
Sc1 Sc 0.000 0.291 0.500
Sc2 Sc 0.226 0.500 0.487
Cl1 Cl 0.006 0.000 0.694
Cl2 Cl 0.041 0.500 0.760
Cl3 Cl 0.226 0.252 0.276
```

crystal system	monoclinic

---

Number 1: size of the total moment 2.0 μB/f.u., ΔE_f (raw) -1.6372 eV per atom. Number 2: size of the total moment 1.1 μB/f.u., ΔE_f (raw) -1.6350 eV per atom. Number 3: size of the total moment 0.6 μB/f.u., ΔE_f (raw) -1.7529 eV per atom.